Record 1
TbEr2Zn3InGa2 | PBE | optimized geometry

Lattice parameters (Å, degrees): 4.3795 12.1707 7.0006 90.00 90.00 90.00
Closest atoms and distances in Å follow each position.
Space group Amm2 (No. 38)
Symmetry-distinct sites (fractional):
Tb1 0.0000 0.0000 0.0000 [2 per cell]  4 Ga 3.02, 2 Zn 3.05, 1 In 3.12
Er1 0.0000 0.2217 0.3361 [4 per cell]  4 Ga 3.00, 2 Zn 3.05, 1 In 3.10
Zn1 0.5000 0.0000 0.3033 [2 per cell]  2 Ga 2.67, 2 In 2.81
Zn2 0.5000 0.1272 0.6842 [4 per cell]  2 Ga 2.65-2.66, 2 In 2.83
In1 0.0000 0.0000 0.5550 [2 per cell]  6 Zn 2.81-2.83, 2 Er 3.10, 1 Tb 3.12
Ga1 0.5000 0.1679 0.0574 [4 per cell]  3 Zn 2.65-2.67

Computed properties:
raw total energy: -61.86 eV per cell
M_tot: 0.0 Bohr magnetons per cell

***

Record 2
Zr2AgPd | PBE | optimized geometry

Lattice parameters (Å, degrees): 6.6652 6.6652 6.6652 90.00 90.00 90.00
Closest atoms and distances in Å follow each position.
Space group F-43m (No. 216)
Symmetry-distinct sites (fractional):
Zr1 0.0000 0.0000 0.0000 [4 per cell]  4 Zr 2.89, 4 Ag 2.89
Zr2 0.2500 0.2500 0.2500 [4 per cell]  4 Zr 2.89, 4 Pd 2.89
Ag1 0.2500 0.2500 0.7500 [4 per cell]  4 Zr 2.89, 4 Pd 2.89
Pd1 0.0000 0.0000 0.5000 [4 per cell]  4 Zr 2.89, 4 Ag 2.89

Computed properties:
formation energy from the elements: -114 meV per atom
M_tot: 4.1 Bohr magnetons per cell

***

Record 3
NdZn4Ag8 | PBE | optimized geometry

Lattice parameters (Å, degrees): 9.4663 9.4663 5.2666 90.00 90.00 90.00
Closest atoms and distances in Å follow each position.
Space group I4/mmm (No. 139)
Symmetry-distinct sites (fractional):
Nd1 0.0000 0.0000 0.0000 [2 per cell]  12 Ag 3.29-3.34, 8 Zn 3.60
Zn1 0.2500 0.2500 0.2500 [8 per cell]  2 Zn 2.63, 8 Ag 2.73-2.86
Ag1 0.0000 0.2170 0.5000 [8 per cell]  4 Zn 2.73, 6 Ag 2.91-3.04
Ag2 0.0000 0.3478 0.0000 [8 per cell]  4 Zn 2.86, 5 Ag 2.88-3.04

Computed properties:
formation energy from the elements: -160 meV per atom
M_tot: 0.0 Bohr magnetons per cell

***

Record 4
NaReBiSeO8 | PBE | optimized geometry

Lattice parameters (Å, degrees): 5.1845 5.1845 11.4088 90.00 90.00 90.00
Closest atoms and distances in Å follow each position.
Space group I-4 (No. 82)
Symmetry-distinct sites (fractional):
Na1 0.0000 0.0000 0.0000 [2 per cell]  8 O 2.39-2.52
Re1 0.0000 0.0000 0.5000 [2 per cell]  4 O 1.81
Bi1 0.0000 0.5000 0.7500 [2 per cell]  8 O 2.41-2.49
Se1 0.0000 0.5000 0.2500 [2 per cell]  4 O 1.68
O1 0.1450 0.7357 0.5798 [8 per cell]  1 Re 1.81
O2 0.1509 0.2770 0.1682 [8 per cell]  1 Se 1.68

Computed properties:
raw total energy: -150.90 eV per cell
M_tot: 2.0 Bohr magnetons per cell

***

Record 5
CsTcAgSe3 | PBE | optimized geometry

Lattice parameters (Å, degrees): 3.8737 16.2728 10.2657 90.00 90.00 90.00
Closest atoms and distances in Å follow each position.
Space group Cmcm (No. 63)
Symmetry-distinct sites (fractional):
Cs1 0.0000 0.2432 0.2500 [4 per cell]  8 Se 3.69-3.75, 2 Ag 3.76, 2 Cs 3.87
Tc1 0.0000 0.0000 0.0000 [4 per cell]  6 Se 2.63-2.76
Ag1 0.0000 0.4547 0.7500 [4 per cell]  4 Se 2.56-2.61
Se1 0.0000 0.0625 0.7500 [4 per cell]  2 Ag 2.61, 2 Tc 2.76
Se2 0.0000 0.3916 0.5214 [8 per cell]  1 Ag 2.56, 2 Tc 2.63

Computed properties:
raw total energy: -105.88 eV per cell
M_tot: 10.5 Bohr magnetons per cell

***

Record 6
Tc2O7 | PBE | optimized geometry

Lattice parameters (Å, degrees): 5.3918 13.4649 7.0777 90.00 90.00 90.00
Closest atoms and distances in Å follow each position.
Space group Pbca (No. 61)
Symmetry-distinct sites (fractional):
Tc1 0.2052 0.1105 0.0148 [8 per cell]  4 O 1.70-1.86
O1 0.0000 0.0000 0.0000 [4 per cell]  2 Tc 1.86
O2 0.0433 0.5873 0.8734 [8 per cell]  1 Tc 1.71
O3 0.0626 0.2165 0.9408 [8 per cell]  1 Tc 1.70
O4 0.1917 0.6252 0.2416 [8 per cell]  1 Tc 1.71

Computed properties:
raw total energy: -265.33 eV per cell
M_tot: 0.0 Bohr magnetons per cell

***

- What is the formula in the third record?
  NdZn4Ag8